(1)
First-principles (PBE with a Hubbard U) data for crystalline MnTl2TeO6 at its relaxed geometry, as listed in the Alexandria database.

Unit cell a=5.6957 b=5.6959 c=6.0138 alpha=61.74 beta=61.74 gamma=60.00
Last column: magnetic moment on the atom in μB.
Atoms (fractional coordinates):
O  0.5758  0.1317  0.2526  0.02
O  0.6623  0.0976  0.7966  0.02
O  0.1317  0.0400  0.2525  0.02
O  0.0399  0.5758  0.2526  0.02
O  0.0976  0.4435  0.7966  0.02
O  0.4435  0.6623  0.7966  0.02
Te  0.3200  0.3200  0.0401  0.04
Mn  0.8088  0.8088  0.5736  4.64
Tl  0.5560  0.5560  0.3320  0.00
Tl  0.0260  0.0260  0.9221  0.01

Summary:
Symmetry: R3 (146)

(2)
First-principles (PBE with a Hubbard U) data for crystalline MnTlTeO4 at its relaxed geometry, as listed in the Alexandria database.

Unit cell a=5.7713 b=5.7827 c=8.4100 alpha=90.00 beta=120.14 gamma=90.00
Last column: magnetic moment on the atom in μB.
Atoms (fractional coordinates):
O  0.4848  0.7500  0.5041  -0.08
O  0.5163  0.2500  0.7962  -0.13
O  0.4837  0.7500  0.2038  -0.13
O  0.0012  0.9892  0.3474  -0.01
O  0.5152  0.2500  0.4959  -0.08
O  0.9988  0.4892  0.6526  -0.01
O  0.0012  0.5108  0.3474  -0.01
O  0.9988  0.0108  0.6526  -0.01
Te  0.8389  0.2500  0.7335  0.03
Te  0.1611  0.7500  0.2665  0.03
Mn  0.2206  0.2500  0.5521  4.06
Mn  0.7794  0.7500  0.4479  4.06
Tl  0.4467  0.7500  0.8537  -0.01
Tl  0.5533  0.2500  0.1463  -0.01

Summary:
Symmetry: P2_1/m (11)

(3)
First-principles (PBE with a Hubbard U) data for crystalline MnTl3Te2O9 at its relaxed geometry, as listed in the Alexandria database.

Unit cell a=5.8053 b=5.8053 c=7.1920 alpha=90.00 beta=90.00 gamma=120.00
Last column: magnetic moment on the atom in μB.
Atoms (fractional coordinates):
Tl  0.3333  0.6667  0.6584  -0.02
Tl  0.6667  0.3333  0.3416  -0.02
Tl  0.0000  0.0000  0.0000  -0.03
O  0.1713  0.3425  0.3149  0.00
O  0.5000  0.5000  0.0000  0.01
O  0.5000  0.0000  0.0000  0.01
O  0.1713  0.8287  0.3149  0.00
O  0.8287  0.6575  0.6851  0.00
O  0.0000  0.5000  0.0000  0.01
O  0.8287  0.1713  0.6851  0.00
O  0.3425  0.1713  0.6851  0.00
O  0.6575  0.8287  0.3149  0.00
Mn  0.0000  0.0000  0.5000  4.57
Te  0.3333  0.6667  0.1722  0.03
Te  0.6667  0.3333  0.8278  0.03

Summary:
Symmetry: P-3m1 (164)

(4)
First-principles (PBE with a Hubbard U) data for crystalline Mn2Tl2TeO6 at its relaxed geometry, as listed in the Alexandria database.

Unit cell a=5.5894 b=5.5894 c=6.8415 alpha=98.18 beta=98.18 gamma=119.42
Last column: magnetic moment on the atom in μB.
Atoms (fractional coordinates):
O  0.7629  0.7629  0.6669  0.03
O  0.6467  0.9452  0.3386  0.04
O  0.2371  0.2371  0.3331  0.03
O  0.9452  0.6467  0.3386  0.04
O  0.3533  0.0548  0.6614  0.04
O  0.0548  0.3533  0.6614  0.04
Tl  0.1717  0.8283  0.0000  0.01
Tl  0.8283  0.1717  0.0000  0.01
Mn  0.6656  0.3344  0.5000  4.63
Mn  0.3344  0.6656  0.5000  4.63
Te  0.0000  0.0000  0.5000  0.03

Summary:
Symmetry: C2/m (12)

(5)
First-principles (PBE with a Hubbard U) data for crystalline MnTl2Te2O6 at its relaxed geometry, as listed in the Alexandria database.

Unit cell a=6.6953 b=6.0926 c=6.0459 alpha=104.54 beta=90.00 gamma=123.33
Last column: magnetic moment on the atom in μB.
Atoms (fractional coordinates):
O  0.2937  0.9788  0.7310  -0.03
O  0.7698  0.5396  0.6443  0.01
O  0.6851  0.9788  0.7310  -0.03
O  0.7063  0.0212  0.2690  -0.03
O  0.2302  0.4604  0.3557  0.01
O  0.3149  0.0212  0.2690  -0.03
Mn  0.5000  0.0000  0.5000  3.91
Te  0.9610  0.9220  0.7243  0.01
Te  0.0390  0.0780  0.2757  0.01
Tl  0.3159  0.6319  0.8882  0.00
Tl  0.6841  0.3681  0.1118  0.00

Summary:
Symmetry: C2/m (12)

(6)
First-principles (PBE with a Hubbard U) data for crystalline TmMnTeO6 at its relaxed geometry, as listed in the Alexandria database.

Unit cell a=5.4552 b=5.4552 c=8.7527 alpha=90.00 beta=90.00 gamma=120.00
Last column: magnetic moment on the atom in μB.
Atoms (fractional coordinates):
O  0.6397  0.9622  0.8724  -0.08
O  0.3603  0.3225  0.3724  -0.08
O  0.6397  0.6775  0.6276  -0.08
O  0.3225  0.3603  0.8724  -0.08
O  0.9622  0.3225  0.1276  -0.08
O  0.6775  0.0378  0.3724  -0.08
O  0.3603  0.0378  0.1276  -0.08
O  0.6775  0.6397  0.1276  -0.08
O  0.3225  0.9622  0.6276  -0.08
O  0.0378  0.6775  0.8724  -0.08
O  0.0378  0.3603  0.6276  -0.08
O  0.9622  0.6397  0.3724  -0.08
Tm  0.6667  0.3333  0.7500  0.02
Tm  0.3333  0.6667  0.2500  0.02
Mn  0.0000  0.0000  0.0000  4.33
Mn  0.0000  0.0000  0.5000  4.33
Te  0.6667  0.3333  0.2500  0.04
Te  0.3333  0.6667  0.7500  0.04

Summary:
Symmetry: P-31c (163)

(7)
First-principles (PBE with a Hubbard U) data for crystalline TmMnTe2O8 at its relaxed geometry, as listed in the Alexandria database.

Unit cell a=6.1086 b=6.1086 c=5.9167 alpha=90.00 beta=90.00 gamma=120.00
Last column: magnetic moment on the atom in μB.
Atoms (fractional coordinates):
Mn  0.0000  0.0000  0.0000  3.76
O  0.8549  0.1451  0.2258  -0.07
O  0.3333  0.6667  0.1335  -0.01
O  0.7099  0.8549  0.7742  -0.07
O  0.2901  0.1451  0.2258  -0.07
O  0.1451  0.2901  0.7742  -0.07
O  0.6667  0.3333  0.8665  -0.01
O  0.1451  0.8549  0.7742  -0.07
O  0.8549  0.7099  0.2258  -0.07
Tm  0.0000  0.0000  0.5000  0.00
Te  0.6667  0.3333  0.1715  -0.01
Te  0.3333  0.6667  0.8285  -0.01

Summary:
Symmetry: P-3m1 (164)

(8)
First-principles (PBE with a Hubbard U) data for crystalline MnV2TeO8 at its relaxed geometry, as listed in the Alexandria database.

Unit cell a=4.6134 b=4.6112 c=6.2740 alpha=90.00 beta=90.00 gamma=89.17
Last column: magnetic moment on the atom in μB.
Atoms (fractional coordinates):
O  0.2027  0.7965  0.7674  -0.03
O  0.6828  0.6836  0.5000  -0.06
O  0.7012  0.7021  0.0000  -0.01
O  0.7973  0.2035  0.2326  -0.03
O  0.7973  0.2035  0.7674  -0.03
O  0.2027  0.7965  0.2326  -0.03
O  0.2988  0.2979  0.0000  -0.01
O  0.3172  0.3164  0.5000  -0.06
Mn  0.0000  0.0000  0.5000  4.49
V  0.5000  0.5000  0.7390  1.24
V  0.5000  0.5000  0.2610  1.24
Te  0.0000  0.0000  0.0000  0.04

Summary:
Symmetry: Cmmm (65)

no.,electronic total energy (eV/atom)
1,-5.45
2,-5.73
3,-5.22
4,-5.98
5,-5.28
6,-6.72
7,-6.21
8,-7.04